(1)
## NaLaTa2Ti (PBE)

Data for an optimized crystal structure of NaLaTa2Ti.

Cell lengths 4.8788, 4.8788, 5.1473 Å; angles 90.00, 90.00, 90.00 degrees
With the nearest neighbours (Å) after each atom.
Space group P4/mmm (No. 123)
Unique sites:
Na 0.0000 0.0000 0.0000  4 Ta 2.44, 2 La 2.57
La 0.0000 0.0000 0.5000  2 Na 2.57
Ta 0.0000 0.5000 0.0000  2 Na 2.44
Ti 0.5000 0.5000 0.5000  4 La 3.45, 8 Ta 3.55

Values from the calculation:
formation enthalpy at 0 K: 2.082 eV per atom
magnetization: 0.0 μB/f.u.



(2)
## LaNdAl (PBE)

Data for an optimized crystal structure of LaNdAl.

Cell lengths 5.1527, 5.1527, 3.7640 Å; angles 90.00, 90.00, 120.00 degrees
With the nearest neighbours (Å) after each atom.
Space group P3m1 (No. 156)
Unique sites:
La 0.0000 0.0000 0.0000  3 Al 3.23, 3 Nd 3.31
Nd 0.6667 0.3333 0.6172  3 Al 3.16, 3 La 3.31
Al 0.3333 0.6667 0.3352  3 Nd 3.16, 3 La 3.23

Values from the calculation:
formation enthalpy at 0 K: -0.159 eV per atom
magnetization: 0.0 μB/f.u.
ΔE to the lowest computed polymorph: 66.6 meV per atom



(3)
## CuGeNF2 (PBE)

Data for an optimized crystal structure of CuGeNF2.

Cell lengths 3.9146, 3.9146, 3.9831 Å; angles 90.00, 90.00, 90.00 degrees
With the nearest neighbours (Å) after each atom.
Space group P4/mmm (No. 123)
Unique sites:
Cu 0.0000 0.0000 0.0000  4 F 1.96, 2 N 1.99
Ge 0.5000 0.5000 0.5000  4 N 2.77, 8 F 2.79
N 0.0000 0.0000 0.5000  2 Cu 1.99
F 0.0000 0.5000 0.0000  2 Cu 1.96

Values from the calculation:
magnetization: 1.1 μB/f.u.
ΔE to the lowest computed polymorph: 212.9 meV per atom
ΔE_f (raw): -0.219 eV per atom



(4)
## DyHo2Ni9 (PBE)

Data for an optimized crystal structure of DyHo2Ni9.

Cell lengths 4.9548, 4.9548, 24.2807 Å; angles 90.00, 90.00, 120.00 degrees
With the nearest neighbours (Å) after each atom.
Space group R-3m (No. 166, hexagonal axes)
Unique sites:
Dy 0.0000 0.0000 0.0000  18 Ni 2.86-3.18
Ho 0.0000 0.0000 0.1390  12 Ni 2.84-3.07, 3 Ho 3.16
Ni 0.0000 0.0000 0.3331  6 Ni 2.45-2.46
Ni 0.0000 0.0000 0.5000  6 Ni 2.50
Ni 0.0012 0.5006 0.9178  7 Ni 2.45-2.50

Values from the calculation:
formation enthalpy at 0 K: -0.423 eV per atom
magnetization: 1.1 μB/f.u.



(5)
## Rb4Sc3USe8 (PBE)

Data for an optimized crystal structure of Rb4Sc3USe8.

Cell lengths 8.2030, 8.2030, 23.8944 Å; angles 90.00, 90.00, 120.00 degrees
With the nearest neighbours (Å) after each atom.
Space group R-3m (No. 166, hexagonal axes)
Unique sites:
Rb 0.0000 0.0000 0.0000  6 Se 3.36
Rb 0.0000 0.5000 0.0000  6 Se 3.45
Sc 0.0000 0.5000 0.5000  6 Se 2.78-2.79
U 0.0000 0.0000 0.5000  6 Se 2.88
Se 0.0000 0.0000 0.2284  3 Sc 2.79
Se 0.0112 0.5056 0.7698  2 Sc 2.78, 1 U 2.88

Values from the calculation:
magnetization: 3.0 μB/f.u.
ΔE_f (raw): -1.483 eV per atom



(6)
## CaFe2 (PBE)

Data for an optimized crystal structure of CaFe2.

Cell lengths 3.3509, 3.3509, 5.1740 Å; angles 90.00, 90.00, 90.00 degrees
With the nearest neighbours (Å) after each atom.
Space group P4/mmm (No. 123)
Unique sites:
Ca 0.0000 0.0000 0.0000  8 Fe 3.08, 4 Ca 3.35
Fe 0.0000 0.5000 0.5000  4 Fe 2.37

Values from the calculation:
formation enthalpy at 0 K: 0.523 eV per atom
magnetization: 4.4 μB/f.u.